## Al2CrF8 (GGA+U)

Data for an optimized crystal structure of Al2CrF8.

Calculated values
Raw total energy = -5.83 eV/atom

Lattice parameters (Å, degrees): 5.182 4.976 4.976 76.72 97.43 97.43
Last column: magnetic moment on the atom in μB.
Element x y z (fractional)
Al 0.453 0.686 0.686  0.00
Al 0.547 0.314 0.314  0.00
Cr 0.000 0.000 0.000  3.82
F 0.343 0.332 0.952  0.00
F 0.657 0.048 0.668  0.00
F 0.179 0.795 0.795  0.00
F 0.821 0.205 0.205  0.00
F 0.343 0.952 0.332  0.00
F 0.657 0.668 0.048  0.00
F 0.718 0.560 0.560  0.00
F 0.282 0.440 0.440  0.00